# 1
NiRuBr3, optimized geometry, DFT GGA-PBE; total magnetization = 3.46 μB/f.u.; E = -3.34 eV/atom; energy relative to the elements, uncorrected = 65.5 kJ per mole of atoms
1.0
4.923 0.000 0.000
0.000 4.923 0.000
0.000 0.000 4.923
Ni Ru Br
1 1 3
Direct
0.000 0.000 0.000
0.500 0.500 0.500
0.000 0.000 0.500
0.000 0.500 0.000
0.500 0.000 0.000

---

# 2
Zr2FeOs, optimized geometry, DFT GGA-PBE; total magnetization = 3.30 μB/f.u.; E = -9.17 eV/atom
1.0
3.217 0.000 0.000
0.000 3.217 0.000
0.000 0.000 6.901
Zr Fe Os
2 1 1
Direct
0.000 0.000 0.000
0.500 0.500 0.312
0.000 0.000 0.564
0.500 0.500 0.762